Entry 1:
Sm2Ge3Pd2 PBE-GGA relaxed; calculated total energy = -39.7 eV per formula unit; spin magnetization = 0.00 μB per cell; theoretical density = 8.63 g cm⁻³; Fermi-level density of states = 0.454 states/eV per atom; ΔE to the lowest computed polymorph = 0.0 meV/atom
1.0
4.1699 0.0000 -0.9942
0.0000 7.0991 0.0000
0.0591 0.0000 9.4902
Sm Ge Pd
4 6 4
Direct
0.1558 0.2500 0.3116
0.8442 0.7500 0.6884
0.9464 0.2500 0.8929
0.0536 0.7500 0.1071
0.2226 0.7500 0.4453
0.7774 0.2500 0.5547
0.5626 0.4335 0.1253
0.4374 0.5665 0.8747
0.4374 0.9335 0.8747
0.5626 0.0665 0.1253
0.6950 0.9509 0.3900
0.3050 0.0491 0.6100
0.3050 0.4509 0.6100
0.6950 0.5491 0.3900


Entry 2:
SrSi2S PBE-GGA relaxed; calculated total energy = -16.3 eV per formula unit; spin magnetization = 0.00 μB per cell; theoretical density = 2.97 g cm⁻³; formation energy from raw total energies = 79 meV per atom; Fermi-level density of states = 0.230 states/eV per atom
1.0
-4.5097 -1.3610 -5.5815
5.6621 -2.2543 -4.0252
0.0859 -5.2418 -3.5698
Sr S Si
2 2 4
Direct
0.0000 0.0000 0.0000
0.7500 0.2500 0.5000
0.5000 0.5000 0.0000
0.2500 0.7500 0.5000
0.5280 0.1250 0.2500
0.2220 0.6250 0.2500
0.3750 0.4720 0.7500
0.8750 0.7780 0.7500


Entry 3:
K3PF PBE-GGA relaxed; calculated total energy = -16.2 eV per formula unit; spin magnetization = 1.00 μB per cell; theoretical density = 1.97 g cm⁻³; formation energy from raw total energies = -1119 meV per atom; Fermi-level density of states = 0.845 states/eV per atom; ΔE to the lowest computed polymorph = 0.0 meV/atom
1.0
5.2029 0.0000 0.0000
0.0000 5.2029 0.0000
0.0000 0.0000 5.2029
P K F
1 3 1
Direct
0.5000 0.5000 0.5000
0.0000 0.5000 0.0000
0.0000 0.0000 0.5000
0.5000 0.0000 0.0000
0.0000 0.0000 0.0000